No. 1
First-principles (PBE) data for a relaxed La2ErZrAs4 crystal, as listed in Alexandria.

Geometry as extended XYZ:
```
8
Lattice="7.189 0.000 0.000 0.000 4.149 0.000 -2.383 0.000 6.831" Properties=species:S:1:pos:R:3 pbc="T T T"
La 0.000 0.000 0.000
La 3.595 2.074 0.000
Er -1.191 2.074 3.415
Zr 2.403 0.000 3.415
As 0.061 0.000 4.976
As 1.246 2.074 1.878
As 3.561 2.074 4.953
As 4.746 0.000 1.855
```


No. 2
First-principles (PBE) data for a relaxed LiEr2As crystal, as listed in Alexandria.

Geometry as extended XYZ:
```
4
Lattice="1.893 1.093 9.971 -1.893 1.093 9.971 0.000 -2.186 9.971" Properties=species:S:1:pos:R:3 pbc="T T T"
Li 0.000 0.000 0.000
Er 0.000 0.000 3.276
Er 0.000 0.000 26.636
As 0.000 0.000 14.956
```

E above lowest polymorph in eV/atom: 0.154


No. 3
First-principles (PBE) data for a relaxed LiErAs crystal, as listed in Alexandria.

Geometry as extended XYZ:
```
3
Lattice="0.000 3.228 3.228 3.228 0.000 3.228 3.228 3.228 0.000" Properties=species:S:1:pos:R:3 pbc="T T T"
Li 0.000 0.000 0.000
Er 3.228 3.228 3.228
As 4.841 4.841 4.841
```

E above lowest polymorph in eV/atom: 0.082


No. 4
First-principles (PBE) data for a relaxed LiErAs crystal, as listed in Alexandria.

Geometry as extended XYZ:
```
3
Lattice="3.982 0.000 0.000 0.000 3.982 0.000 0.000 0.000 4.998" Properties=species:S:1:pos:R:3 pbc="T T T"
Li 0.000 0.000 0.000
Er 1.991 1.991 2.499
As 0.000 0.000 2.499
```

E above lowest polymorph in eV/atom: 0.188


No. 5
First-principles (PBE) data for a relaxed LiEr2As crystal, as listed in Alexandria.

Geometry as extended XYZ:
```
4
Lattice="4.752 0.000 0.000 0.000 4.752 0.000 0.000 0.000 3.857" Properties=species:S:1:pos:R:3 pbc="T T T"
Li 0.000 0.000 0.000
Er 0.000 2.376 1.928
Er 2.376 0.000 1.928
As 2.376 2.376 0.000
```

E above lowest polymorph in eV/atom: 0.000


No. 6
First-principles (PBE) data for a relaxed LiErAs crystal, as listed in Alexandria.

Geometry as extended XYZ:
```
3
Lattice="4.115 0.000 0.000 -2.058 3.564 0.000 0.000 0.000 3.915" Properties=species:S:1:pos:R:3 pbc="T T T"
Li 0.000 0.000 0.000
Er 2.058 1.188 1.957
As 0.000 2.376 0.000
```

E above lowest polymorph in eV/atom: 0.000


| no. | calculated formation energy (meV/atom) | final energy (eV per atom) |
| --- | --- | --- |
| 1 | -1439.7 | -6.635 |
| 2 | -397.6 | -4.320 |
| 3 | -848.6 | -4.557 |
| 4 | -742.9 | -4.452 |
| 5 | -551.8 | -4.474 |
| 6 | -930.8 | -4.640 |